DFT (PBE+U) results for a geometry-optimized CrIrO4 structure.

POSCAR file:
```
CrIrO4
1.0
-1.767 -1.000 -4.070
-2.795 -2.961 2.027
-2.123 2.256 0.368
Ir O Cr
1 4 1
Direct
0.500 0.500 0.000
0.690 0.310 0.500
0.196 0.196 0.000
0.310 0.690 0.500
0.804 0.804 0.000
0.000 0.000 0.500
```

symmetry: Cmmm (65)
ρ: 7.9 g cm⁻³
calculated total energy: -43.7 eV for the cell shown